The following is a DFT calculation (PBE) of TlCoS2Br after structural relaxation.

Properties
**E_tot**: -0.227 Ry/atom
**Symmetry**: P4/mmm
**DOS(E_F)**: 3.495 states/eV per cell
**Formation energy without anion corrections**: 0.787 eV/atom

Unit cell a=5.3581 b=4.4141 c=5.3581 alpha=90.00 beta=90.00 gamma=90.00
Last column: nearest neighbours and their distance in Å.
Fractional positions:
S (0.5000, 0.0000, 0.0000)  2 Br 2.68
S (0.0000, 0.0000, 0.5000)  2 Br 2.68
Tl (0.5000, 0.5000, 0.5000)  8 S 3.47, 4 Co 3.79
Br (0.0000, 0.0000, 0.0000)  2 Co 2.21
Co (0.0000, 0.5000, 0.0000)  2 Br 2.21

=====

The following is a DFT calculation (PBE) of TbPr4NdEr2 after structural relaxation.

Properties
**E_form**: 0.015 eV per atom
**E_tot**: -0.345 Ry/atom
**Symmetry**: Pmmm
**DOS(E_F)**: 10.640 states/eV per cell

Unit cell a=5.1887 b=5.1592 c=11.4062 alpha=63.07 beta=90.00 gamma=90.00
Last column: nearest neighbours and their distance in Å.
Fractional positions:
Pr (0.0000, 0.2486, 0.2516)  2 Tb 3.61, 4 Er 3.62-3.63, 2 Nd 3.64, 4 Pr 3.66
Pr (0.0000, 0.7514, 0.7484)  2 Tb 3.61, 4 Er 3.62-3.63, 2 Nd 3.64, 4 Pr 3.66
Pr (0.5000, 0.7474, 0.2524)  4 Er 3.60-3.65, 2 Tb 3.62, 2 Nd 3.64, 4 Pr 3.66
Pr (0.5000, 0.2526, 0.7476)  4 Er 3.60-3.65, 2 Tb 3.62, 2 Nd 3.64, 4 Pr 3.66
Nd (0.5000, 0.5000, 0.0000)  8 Pr 3.64, 4 Er 3.66
Er (0.0000, 0.0000, 0.0000)  8 Pr 3.63-3.65, 4 Nd 3.66
Er (0.5000, 0.0000, 0.5000)  8 Pr 3.60-3.62, 4 Tb 3.66
Tb (0.0000, 0.5000, 0.5000)  8 Pr 3.61-3.62, 4 Er 3.66

=====

The following is a DFT calculation (PBE) of AcScSnHg after structural relaxation.

Properties
**E_form**: -0.436 eV per atom
**E_tot**: -0.303 Ry/atom
**Symmetry**: F-43m
**DOS(E_F)**: 4.136 states/eV per cell

Unit cell a=5.4356 b=5.4356 c=5.4356 alpha=60.00 beta=60.00 gamma=60.00
Last column: nearest neighbours and their distance in Å.
Fractional positions:
Sc (0.0000, 0.0000, 0.0000)  4 Hg 3.33, 4 Sn 3.33
Sn (0.7500, 0.7500, 0.7500)  4 Ac 3.33, 4 Sc 3.33
Ac (0.5000, 0.5000, 0.5000)  4 Sn 3.33, 4 Hg 3.33
Hg (0.2500, 0.2500, 0.2500)  4 Sc 3.33, 4 Ac 3.33

=====

The following is a DFT calculation (PBE) of MgGa3B after structural relaxation.

Properties
**E_form**: 0.364 eV per atom
**Energy relative to the lowest polymorph listed for this composition**: 0.0000 eV/atom
**E_tot**: -0.228 Ry/atom
**Symmetry**: Pm-3m
**DOS(E_F)**: 1.450 states/eV per cell

Unit cell a=4.4641 b=4.4641 c=4.4641 alpha=90.00 beta=90.00 gamma=90.00
Last column: nearest neighbours and their distance in Å.
Fractional positions:
Ga (0.5000, 0.0000, 0.0000)  2 B 2.23
Ga (0.0000, 0.5000, 0.0000)  2 B 2.23
Ga (0.0000, 0.0000, 0.5000)  2 B 2.23
B (0.0000, 0.0000, 0.0000)  6 Ga 2.23
Mg (0.5000, 0.5000, 0.5000)  12 Ga 3.16